No. 1
Density functional theory data (GGA-PBE) for HgPb2W after structural relaxation.

Calculated values
The value obtained for the formation enthalpy at 0 K is 0.707 eV/atom. The value obtained for the total energy is -4.461 eV/atom.

Unit cell a=3.0995 b=3.0994 c=10.3024 alpha=90.00 beta=90.00 gamma=90.00
With the nearest neighbours (Å) after each atom.
Positions (direct):
1 W 0.0000 0.0000 0.5190  4 Hg 2.97, 4 W 3.10, 4 Pb 3.13
2 Pb 0.0000 0.0000 0.9650  4 Pb 3.10, 4 Hg 3.39
3 Pb 0.5000 0.5000 0.3024  4 Pb 3.10, 4 W 3.13
4 Hg 0.5000 0.5000 0.7136  4 W 2.97, 4 Hg 3.10



No. 2
Density functional theory data (GGA-PBE) for Th4CoSn2 after structural relaxation.

Calculated values
The value obtained for the formation enthalpy at 0 K is -0.385 eV/atom. The value obtained for the total energy is -6.784 eV/atom.

Unit cell a=6.2913 b=6.6951 c=10.3236 alpha=90.00 beta=114.36 gamma=90.00
With the nearest neighbours (Å) after each atom.
Positions (direct):
1 Sn 0.2393 0.2500 0.4372  8 Th 3.31-3.43
2 Sn 0.7100 0.7500 0.0551  1 Co 2.62
3 Co 0.1676 0.7500 0.1683  4 Th 2.52-2.66, 1 Sn 2.62
4 Th 0.5105 0.0167 0.2595  1 Co 2.66
5 Th 0.4895 0.5167 0.7405  1 Co 2.66
6 Sn 0.7607 0.7500 0.5628  8 Th 3.31-3.43
7 Co 0.8324 0.2500 0.8317  4 Th 2.52-2.66, 1 Sn 2.62
8 Th 0.8884 0.2500 0.6034  1 Co 2.52
9 Th 0.9007 0.2500 0.0922  1 Co 2.54
10 Th 0.5105 0.4833 0.2595  1 Co 2.66
11 Th 0.0993 0.7500 0.9078  1 Co 2.54
12 Th 0.1116 0.7500 0.3966  1 Co 2.52
13 Sn 0.2900 0.2500 0.9449  1 Co 2.62
14 Th 0.4895 0.9833 0.7405  1 Co 2.66



No. 3
Density functional theory data (GGA-PBE) for Cs2KSn2I7 after structural relaxation.

Calculated values
The uncorrected formation energy comes out at -11.997 eV per formula unit. The value obtained for the total energy is -2.805 eV/atom.

Unit cell a=6.2528 b=6.2528 c=16.4101 alpha=79.11 beta=79.11 gamma=90.01
With the nearest neighbours (Å) after each atom.
Positions (direct):
1 I 0.5000 0.5000 0.0000  2 Sn 3.18
2 I 0.4013 0.9039 0.1896  2 Sn 3.13
3 Sn 0.3983 0.3983 0.2012  6 I 3.12-3.18
4 I 0.3025 0.3025 0.3986  1 Sn 3.12
5 Cs 0.1816 0.1816 0.6430  5 I 3.86-4.10
6 I 0.5987 0.0961 0.8104  2 Sn 3.13
7 K 0.0000 0.0000 0.0000  12 I 4.31-4.42
8 Sn 0.6017 0.6017 0.7988  6 I 3.12-3.18
9 I 0.6975 0.6975 0.6014  1 Sn 3.12
10 Cs 0.8184 0.8184 0.3570  5 I 3.86-4.10
11 I 0.0961 0.5987 0.8104  2 Sn 3.13
12 I 0.9039 0.4013 0.1896  2 Sn 3.13



No. 4
Density functional theory data (GGA-PBE) for KSr2P after structural relaxation.

Calculated values
The value obtained for the formation enthalpy at 0 K is -0.030 eV/atom. The value obtained for the total energy is -2.497 eV/atom.

Unit cell a=6.1131 b=6.1131 c=6.1131 alpha=128.63 beta=128.63 gamma=75.61
With the nearest neighbours (Å) after each atom.
Positions (direct):
1 Sr 0.5000 0.5000 0.0000  4 P 3.59, 4 K 3.59, 4 Sr 3.75
2 P 0.2500 0.7500 0.5000  8 Sr 3.59, 4 K 3.75
3 K 0.7500 0.2500 0.5000  8 Sr 3.59, 4 P 3.75
4 Sr 0.0000 0.0000 0.0000  4 K 3.59, 4 P 3.59, 4 Sr 3.75



No. 5
Density functional theory data (GGA-PBE) for Tb6P2PbSe3 after structural relaxation.

Calculated values
The uncorrected formation energy comes out at -18.490 eV per formula unit. The value obtained for the total energy is -5.938 eV/atom.

Unit cell a=4.1043 b=8.3780 c=9.2702 alpha=102.93 beta=102.79 gamma=90.00
With the nearest neighbours (Å) after each atom.
Positions (direct):
1 Tb 0.6729 0.5728 0.3458  3 P 2.79-2.83, 3 Se 3.02-3.04
2 Tb 0.9930 0.7350 0.9860  1 P 2.84, 3 Se 2.87-3.02, 2 Pb 3.00
3 Tb 0.3271 0.4272 0.6542  3 P 2.79-2.83, 3 Se 3.02-3.04
4 P 0.8315 0.6624 0.6630  6 Tb 2.79-2.84
5 Pb 0.5000 0.0000 0.0000  6 Tb 3.00-3.03
6 Tb 0.6721 0.1060 0.3442  2 P 2.84, 3 Se 2.88-3.06, 1 Pb 3.03
7 Tb 0.0070 0.2650 0.0140  1 P 2.84, 3 Se 2.87-3.02, 2 Pb 3.00
8 Se 0.5000 0.5000 0.0000  6 Tb 2.87-3.04
9 Se 0.8355 0.1676 0.6710  6 Tb 2.88-3.06
10 Se 0.1645 0.8324 0.3290  6 Tb 2.88-3.06
11 Tb 0.3279 0.8940 0.6558  2 P 2.84, 3 Se 2.88-3.06, 1 Pb 3.03
12 P 0.1685 0.3376 0.3370  6 Tb 2.79-2.84



No. 6
Density functional theory data (GGA-PBE) for HfBi3Ru after structural relaxation.

Calculated values
The polymorph energy (0 for the lowest one) is 0 meV per atom. The value obtained for the formation enthalpy at 0 K is 0.815 eV/atom. The value obtained for the total energy is -5.359 eV/atom.

Unit cell a=5.2511 b=5.2511 c=5.2511 alpha=90.00 beta=90.00 gamma=90.00
With the nearest neighbours (Å) after each atom.
Positions (direct):
1 Hf 0.5000 0.5000 0.5000  12 Bi 3.71
2 Ru 0.0000 0.0000 0.0000  6 Bi 2.63
3 Bi 0.5000 0.0000 0.0000  2 Ru 2.63
4 Bi 0.0000 0.0000 0.5000  2 Ru 2.63
5 Bi 0.0000 0.5000 0.0000  2 Ru 2.63



No. 7
Density functional theory data (GGA-PBE) for PmPr2PaAs4 after structural relaxation.

Calculated values
The value obtained for the formation enthalpy at 0 K is -1.405 eV/atom. The value obtained for the total energy is -6.705 eV/atom.

Unit cell a=4.2304 b=7.3121 c=7.3333 alpha=109.39 beta=90.00 gamma=90.00
With the nearest neighbours (Å) after each atom.
Positions (direct):
1 Pa 0.0000 0.0000 0.0000  6 As 2.89-2.92
2 As 0.5000 0.2388 0.2359  2 Pa 2.92, 1 Pm 2.97, 3 Pr 3.01-3.07
3 Pr 0.5000 0.0000 0.5000  6 As 3.01
4 As 0.0000 0.2450 0.7608  1 Pa 2.89, 2 Pm 2.98, 3 Pr 3.01-3.08
5 As 0.5000 0.7612 0.7641  2 Pa 2.92, 1 Pm 2.97, 3 Pr 3.01-3.07
6 Pr 0.0000 0.5000 0.5000  6 As 3.07-3.08
7 As 0.0000 0.7550 0.2392  1 Pa 2.89, 2 Pm 2.98, 3 Pr 3.01-3.08
8 Pm 0.5000 0.5000 0.0000  6 As 2.97-2.98



No. 8
Density functional theory data (GGA-PBE) for KWI2 after structural relaxation.

Calculated values
The polymorph energy (0 for the lowest one) is 424 meV per atom. The uncorrected formation energy comes out at 3.644 eV per formula unit. The value obtained for the total energy is -3.377 eV/atom.

Unit cell a=5.2553 b=5.2553 c=5.2553 alpha=60.00 beta=60.00 gamma=60.00
With the nearest neighbours (Å) after each atom.
Positions (direct):
1 W 0.5000 0.5000 0.5000  8 I 3.22
2 I 0.2500 0.2500 0.2500  4 W 3.22, 4 K 3.22
3 K 0.0000 0.0000 0.0000  8 I 3.22
4 I 0.7500 0.7500 0.7500  4 W 3.22, 4 K 3.22



No. 9
Density functional theory data (GGA-PBE) for CeIn8Pd4 after structural relaxation.

Calculated values
The value obtained for the formation enthalpy at 0 K is -0.413 eV/atom. The value obtained for the total energy is -4.152 eV/atom.

Unit cell a=5.8527 b=7.4527 c=7.4527 alpha=81.13 beta=66.88 gamma=66.88
With the nearest neighbours (Å) after each atom.
Positions (direct):
1 In 0.3385 0.6615 0.6615  4 Pd 2.96, 5 In 3.13-3.14, 1 Ce 3.28
2 Pd 0.0000 0.5000 0.0000  8 In 2.85-2.96, 2 Pd 2.93
3 Pd 0.0000 0.0000 0.5000  8 In 2.85-2.96, 2 Pd 2.93
4 In 0.5000 0.7801 0.2199  4 Pd 2.85, 6 In 3.01-3.14
5 In 0.5000 0.2199 0.7801  4 Pd 2.85, 6 In 3.01-3.14
6 In 0.0000 0.3385 0.6615  4 Pd 2.96, 5 In 3.13-3.14, 1 Ce 3.28
7 In 0.7199 0.7801 0.7801  4 Pd 2.85, 6 In 3.01-3.14
8 In 0.2801 0.2199 0.2199  4 Pd 2.85, 6 In 3.01-3.14
9 In 0.0000 0.6615 0.3385  4 Pd 2.96, 5 In 3.13-3.14, 1 Ce 3.28
10 In 0.6615 0.3385 0.3385  4 Pd 2.96, 5 In 3.13-3.14, 1 Ce 3.28
11 Ce 0.0000 0.0000 0.0000  12 In 3.28-3.62
12 Pd 0.5000 0.0000 0.5000  8 In 2.85-2.96, 2 Pd 2.93
13 Pd 0.5000 0.5000 0.0000  8 In 2.85-2.96, 2 Pd 2.93



No. 10
Density functional theory data (GGA-PBE) for CaCuH2 after structural relaxation.

Calculated values
The polymorph energy (0 for the lowest one) is 90 meV per atom. The value obtained for the total energy is -3.188 eV/atom.

Unit cell a=4.0555 b=4.0555 c=4.0555 alpha=60.00 beta=60.00 gamma=60.00
With the nearest neighbours (Å) after each atom.
Positions (direct):
1 Ca 0.0000 0.0000 0.0000  8 H 2.48
2 Cu 0.5000 0.5000 0.5000  8 H 2.48
3 H 0.2500 0.2500 0.2500  4 Cu 2.48, 4 Ca 2.48
4 H 0.7500 0.7500 0.7500  4 Cu 2.48, 4 Ca 2.48